Below is crystalline Dy3Y2ErTe6 at its relaxed geometry, with properties calculated at the PBE-GGA level.

Unit cell a=9.7271 b=9.7271 c=8.7469 alpha=102.93 beta=102.93 gamma=25.74
Last column: nearest neighbours and their distance in Å.
Atoms (fractional coordinates):
Dy1 0.0000 0.0000 0.0000  6 Te 3.06-3.09
Dy2 0.3313 0.3313 0.6670  6 Te 3.07-3.10
Dy3 0.6687 0.6687 0.3330  6 Te 3.07-3.10
Y1 0.3321 0.3321 0.1653  6 Te 3.07-3.11
Y2 0.6679 0.6679 0.8347  6 Te 3.07-3.11
Er1 0.0000 0.0000 0.5000  6 Te 3.04-3.06
Te1 0.1649 0.1649 0.5814  1 Er 3.04, 3 Dy 3.07-3.08, 2 Y 3.09
Te2 0.1658 0.1658 0.0833  3 Dy 3.06-3.07, 3 Y 3.07-3.08
Te3 0.4994 0.4994 0.7475  2 Er 3.06, 3 Dy 3.09-3.10, 1 Y 3.11
Te4 0.5006 0.5006 0.2525  2 Er 3.06, 3 Dy 3.09-3.10, 1 Y 3.11
Te5 0.8342 0.8342 0.9167  3 Dy 3.06-3.07, 3 Y 3.07-3.08
Te6 0.8351 0.8351 0.4186  1 Er 3.04, 3 Dy 3.07-3.08, 2 Y 3.09

Computed properties:
- SG = No. 12
- uncorrected formation energy (eV per formula unit) = -15.3
- DOS at the Fermi energy (states/eV/atom) = 0.54

Below is crystalline Dy3YEr2Te6 at its relaxed geometry, with properties calculated at the PBE-GGA level.

Unit cell a=9.7146 b=9.7146 c=8.7269 alpha=103.03 beta=103.03 gamma=25.74
Last column: nearest neighbours and their distance in Å.
Atoms (fractional coordinates):
Dy1 0.0000 0.0000 0.0000  6 Te 3.07-3.09
Dy2 0.3353 0.3353 0.6673  6 Te 3.06-3.09
Dy3 0.6647 0.6647 0.3327  6 Te 3.06-3.09
Y1 0.0000 0.0000 0.5000  6 Te 3.08-3.09
Er1 0.3345 0.3345 0.1685  6 Te 3.03-3.07
Er2 0.6655 0.6655 0.8315  6 Te 3.03-3.07
Te1 0.1679 0.1679 0.0813  3 Er 3.06-3.07, 3 Dy 3.09
Te2 0.1679 0.1679 0.5857  2 Er 3.05, 3 Dy 3.08-3.09, 1 Y 3.09
Te3 0.4988 0.4988 0.2487  1 Er 3.03, 3 Dy 3.06-3.07, 2 Y 3.08
Te4 0.5012 0.5012 0.7513  1 Er 3.03, 3 Dy 3.06-3.07, 2 Y 3.08
Te5 0.8321 0.8321 0.4143  2 Er 3.05, 3 Dy 3.08-3.09, 1 Y 3.09
Te6 0.8321 0.8321 0.9187  3 Er 3.06-3.07, 3 Dy 3.09

Computed properties:
- SG = No. 12
- uncorrected formation energy (eV per formula unit) = -15.1
- DOS at the Fermi energy (states/eV/atom) = 0.54

Below is crystalline DyYEr2Te6 at its relaxed geometry, with properties calculated at the PBE-GGA level.

Unit cell a=8.2811 b=8.2811 c=8.2811 alpha=55.14 beta=55.14 gamma=55.14
Last column: nearest neighbours and their distance in Å.
Atoms (fractional coordinates):
Dy1 0.0000 0.0000 0.0000  6 Te 3.07-3.11
Y1 0.4998 0.4998 0.4998  6 Te 3.07-3.11
Er1 0.1853 0.1853 0.1853  6 Te 3.05-3.08
Er2 0.6851 0.6851 0.6851  6 Te 3.05-3.08
Te1 0.0887 0.7819 0.4099  2 Er 3.05-3.08, 1 Y 3.07, 1 Dy 3.11
Te2 0.2810 0.5896 0.9098  2 Er 3.05-3.08, 1 Dy 3.07, 1 Y 3.11
Te3 0.4099 0.0887 0.7819  2 Er 3.05-3.08, 1 Y 3.07, 1 Dy 3.11
Te4 0.5896 0.9098 0.2810  2 Er 3.05-3.08, 1 Dy 3.07, 1 Y 3.11
Te5 0.7819 0.4099 0.0887  2 Er 3.05-3.08, 1 Y 3.07, 1 Dy 3.11
Te6 0.9098 0.2810 0.5896  2 Er 3.05-3.08, 1 Dy 3.07, 1 Y 3.11

Computed properties:
- SG = No. 146
- uncorrected formation energy (eV per formula unit) = -13.6

Below is crystalline DyEr2Th3 at its relaxed geometry, with properties calculated at the PBE-GGA level.

Unit cell a=7.5601 b=7.5601 c=6.7561 alpha=90.00 beta=90.00 gamma=95.59
Last column: nearest neighbours and their distance in Å.
Atoms (fractional coordinates):
Dy1 0.2296 0.7704 0.7500  2 Er 3.39, 6 Th 3.47-3.51
Dy2 0.7704 0.2296 0.2500  2 Er 3.39, 6 Th 3.47-3.51
Er1 0.1043 0.5627 0.2500  1 Er 3.38, 1 Dy 3.39, 6 Th 3.47-3.51
Er2 0.4373 0.8957 0.2500  1 Er 3.38, 1 Dy 3.39, 6 Th 3.47-3.51
Er3 0.5627 0.1043 0.7500  1 Er 3.38, 1 Dy 3.39, 6 Th 3.47-3.51
Er4 0.8957 0.4373 0.7500  1 Er 3.38, 1 Dy 3.39, 6 Th 3.47-3.51
Th1 0.1669 0.1669 0.0000  4 Th 3.38-3.39, 4 Er 3.47-3.51, 2 Dy 3.51
Th2 0.1669 0.1669 0.5000  4 Th 3.38-3.39, 4 Er 3.47-3.51, 2 Dy 3.51
Th3 0.5000 0.5000 0.0000  4 Th 3.38, 2 Dy 3.47, 4 Er 3.51
Th4 0.5000 0.5000 0.5000  4 Th 3.38, 2 Dy 3.47, 4 Er 3.51
Th5 0.8331 0.8331 0.0000  4 Th 3.38-3.39, 4 Er 3.47-3.51, 2 Dy 3.51
Th6 0.8331 0.8331 0.5000  4 Th 3.38-3.39, 4 Er 3.47-3.51, 2 Dy 3.51

Computed properties:
- DFT formation energy (eV/f.u.) = 1.11
- SG = No. 63
- polymorph energy (0 for the lowest one) (meV/atom) = 157
- DOS at the Fermi energy (states/eV/atom) = 1.28

Below is crystalline Dy6ErTh4 at its relaxed geometry, with properties calculated at the PBE-GGA level.

Unit cell a=18.1715 b=18.1715 c=18.1715 alpha=169.19 beta=161.53 gamma=21.45
Last column: nearest neighbours and their distance in Å.
Atoms (fractional coordinates):
Dy1 0.0953 0.0953 0.0000  6 Dy 3.42-3.62, 4 Th 3.45-3.54, 2 Er 3.81
Dy2 0.2673 0.2673 0.0000  7 Dy 3.42-3.63, 4 Th 3.43-3.49
Dy3 0.3689 0.3689 0.0000  7 Dy 3.42-3.63, 4 Th 3.44-3.56
Dy4 0.6311 0.6311 0.0000  7 Dy 3.42-3.63, 4 Th 3.44-3.56
Dy5 0.7327 0.7327 0.0000  7 Dy 3.42-3.63, 4 Th 3.43-3.49
Dy6 0.9047 0.9047 0.0000  6 Dy 3.42-3.62, 4 Th 3.45-3.54, 2 Er 3.81
Er1 0.0000 0.5000 0.5000  2 Er 3.42, 8 Th 3.72, 4 Dy 3.81
Th1 0.1820 0.6820 0.5000  2 Th 3.42, 8 Dy 3.43-3.54
Th2 0.4563 0.9563 0.5000  3 Th 3.12-3.42, 2 Dy 3.45
Th3 0.5437 0.0437 0.5000  3 Th 3.12-3.42, 2 Dy 3.45
Th4 0.8180 0.3180 0.5000  2 Th 3.42, 8 Dy 3.43-3.54

Computed properties:
- DFT formation energy (eV/f.u.) = 1.79
- SG = No. 71
- DOS at the Fermi energy (states/eV/atom) = 1.39

Below is crystalline Dy3Er4Th at its relaxed geometry, with properties calculated at the PBE-GGA level.

Unit cell a=11.7208 b=11.7208 c=6.6697 alpha=106.46 beta=106.46 gamma=16.85
Last column: nearest neighbours and their distance in Å.
Atoms (fractional coordinates):
Dy1 0.0000 0.0000 0.0000  4 Dy 3.26-3.43, 2 Er 3.27
Dy2 0.1244 0.1244 0.8656  5 Er 3.21-3.50, 3 Dy 3.26-3.43
Dy3 0.8756 0.8756 0.1344  5 Er 3.21-3.50, 3 Dy 3.26-3.43
Er1 0.1247 0.1247 0.3847  3 Dy 3.21-3.46, 5 Er 3.43-3.49
Er2 0.2590 0.2590 0.2605  9 Er 3.43-3.79, 3 Dy 3.46-3.50
Er3 0.7410 0.7410 0.7395  9 Er 3.43-3.79, 3 Dy 3.46-3.50
Er4 0.8753 0.8753 0.6153  3 Dy 3.21-3.46, 5 Er 3.43-3.49
Th1 0.5000 0.5000 0.5000  2 Th 3.43, 4 Er 3.63, 8 Dy 3.63-3.75

Computed properties:
- DFT formation energy (eV/f.u.) = 1.38
- SG = No. 12
- polymorph energy (0 for the lowest one) (meV/atom) = 152
- DOS at the Fermi energy (states/eV/atom) = 1.71